1.
Ca3BiAs | GGA-PBE | optimized geometry

formation enthalpy at 0 K	-20.94	kcal/mol of atoms
total energy	-19.08	eV for the cell shown
mass density	3972	kg/m³
energy above the lowest structure with this stoichiometry	112	meV/atom

a b c (Å): 5.528 5.528 5.528
angles (deg): 90.00 90.00 90.00
Element x y z (fractional)
As1 0.000 0.000 0.000
Ca1 0.000 0.500 0.000
Ca2 0.000 0.000 0.500
Ca3 0.500 0.000 0.000
Bi1 0.500 0.500 0.500

2.
Ca2BiAs | GGA-PBE | optimized geometry

formation enthalpy at 0 K	-19.59	kcal/mol of atoms
total energy	-15.93	eV for the cell shown
mass density	5467	kg/m³

a b c (Å): 3.605 3.605 8.508
angles (deg): 90.00 90.00 90.00
Element x y z (fractional)
As1 0.500 0.500 0.000
Ca1 0.000 0.000 0.795
Ca2 0.000 0.000 0.205
Bi1 0.500 0.500 0.500

3.
Ca3BiAs | GGA-PBE | optimized geometry

formation enthalpy at 0 K	-20.41	kcal/mol of atoms
total energy	-37.92	eV for the cell shown
mass density	4033	kg/m³
energy above the lowest structure with this stoichiometry	135	meV/atom

a b c (Å): 5.399 7.623 8.939
angles (deg): 115.24 90.00 90.00
Element x y z (fractional)
Ca1 0.500 0.275 0.000
Ca2 0.000 0.845 0.689
Ca3 0.500 0.725 0.000
Ca4 0.500 0.500 0.500
Ca5 0.000 0.155 0.311
Ca6 0.500 0.000 0.500
Bi1 0.000 0.638 0.276
Bi2 0.000 0.362 0.724
As1 0.500 0.117 0.235
As2 0.500 0.883 0.765

4.
Ca4BiAs | GGA-PBE | optimized geometry

formation enthalpy at 0 K	-17.70	kcal/mol of atoms
total energy	-21.14	eV for the cell shown
mass density	3799	kg/m³

a b c (Å): 5.132 5.132 7.370
angles (deg): 89.98 89.99 90.00
Element x y z (fractional)
Ca1 0.501 0.997 0.268
Ca2 0.501 0.998 0.729
Ca3 0.001 0.497 0.729
Ca4 0.001 0.497 0.268
Bi1 0.501 0.497 0.998
As1 0.001 0.997 0.498

5.
Ca2BiAs | GGA-PBE | optimized geometry

formation enthalpy at 0 K	-18.79	kcal/mol of atoms
total energy	-15.79	eV for the cell shown
mass density	4931	kg/m³

a b c (Å): 4.043 4.043 8.970
angles (deg): 76.98 76.98 60.00
Element x y z (fractional)
As1 0.000 0.000 0.000
Ca1 0.267 0.267 0.198
Ca2 0.733 0.733 0.802
Bi1 0.500 0.500 0.500

6.
Ca3BiAs | GGA-PBE | optimized geometry

formation enthalpy at 0 K	-6.59	kcal/mol of atoms
total energy	-15.96	eV for the cell shown
mass density	3382	kg/m³
energy above the lowest structure with this stoichiometry	734	meV/atom

a b c (Å): 5.833 5.833 5.833
angles (deg): 90.00 90.00 90.00
Element x y z (fractional)
As1 0.500 0.500 0.500
Ca1 0.000 0.500 0.000
Ca2 0.000 0.000 0.500
Ca3 0.500 0.000 0.000
Bi1 0.000 0.000 0.000

7.
Ca3BiAs | GGA-PBE | optimized geometry

formation enthalpy at 0 K	-23.52	kcal/mol of atoms
total energy	-39.27	eV for the cell shown
mass density	4309	kg/m³
energy above the lowest structure with this stoichiometry	0	meV/atom

a b c (Å): 4.638 7.302 9.196
angles (deg): 90.00 90.00 90.00
Element x y z (fractional)
Ca1 0.750 0.750 0.073
Ca2 0.250 0.250 0.927
Ca3 0.750 0.991 0.661
Ca4 0.750 0.509 0.661
Ca5 0.250 0.009 0.339
Ca6 0.250 0.491 0.339
Bi1 0.750 0.250 0.152
Bi2 0.250 0.750 0.848
As1 0.750 0.750 0.395
As2 0.250 0.250 0.605

8.
CaBi2As2 | GGA-PBE | optimized geometry

formation enthalpy at 0 K	-0.54	kcal/mol of atoms
total energy	-19.18	eV for the cell shown
mass density	7109	kg/m³
energy above the lowest structure with this stoichiometry	273	meV/atom

a b c (Å): 3.793 3.793 10.227
angles (deg): 79.31 79.31 90.00
Element x y z (fractional)
As1 0.750 0.250 0.500
As2 0.250 0.750 0.500
Ca1 0.000 0.000 0.000
Bi1 0.389 0.389 0.221
Bi2 0.611 0.611 0.779

9.
CaBiAs | GGA-PBE | optimized geometry

formation enthalpy at 0 K	-13.11	kcal/mol of atoms
total energy	-24.48	eV for the cell shown
mass density	5940	kg/m³

a b c (Å): 4.278 4.278 10.185
angles (deg): 99.55 99.55 90.38
Element x y z (fractional)
Ca1 0.411 0.159 0.825
Ca2 0.159 0.411 0.325
Bi1 0.985 0.798 0.055
Bi2 0.798 0.985 0.555
As1 0.577 0.316 0.117
As2 0.316 0.577 0.617

10.
Ca6Bi4As | GGA-PBE | optimized geometry

formation enthalpy at 0 K	-18.34	kcal/mol of atoms
total energy	-81.87	eV for the cell shown
mass density	5314	kg/m³

a b c (Å): 8.966 8.966 8.966
angles (deg): 88.05 88.05 91.95
Element x y z (fractional)
Ca1 0.692 0.064 0.078
Ca2 0.078 0.308 0.064
Ca3 0.578 0.436 0.192
Ca4 0.936 0.078 0.692
Ca5 0.564 0.192 0.578
Ca6 0.192 0.422 0.436
Ca7 0.808 0.578 0.564
Ca8 0.436 0.808 0.422
Ca9 0.064 0.922 0.308
Ca10 0.422 0.564 0.808
Ca11 0.922 0.692 0.936
Ca12 0.308 0.936 0.922
Bi1 0.368 0.132 0.250
Bi2 0.868 0.250 0.368
Bi3 0.250 0.632 0.132
Bi4 0.250 0.250 0.750
Bi5 0.750 0.750 0.250
Bi6 0.750 0.368 0.868
Bi7 0.132 0.750 0.632
Bi8 0.632 0.868 0.750
As1 0.500 0.500 0.500
As2 0.000 0.000 0.000

11.
CaBi2As2 | GGA-PBE | optimized geometry

formation enthalpy at 0 K	-6.24	kcal/mol of atoms
total energy	-40.83	eV for the cell shown
mass density	7238	kg/m³
energy above the lowest structure with this stoichiometry	26	meV/atom

a b c (Å): 8.163 8.163 4.185
angles (deg): 90.00 90.00 90.00
Element x y z (fractional)
As1 0.329 0.829 0.000
As2 0.829 0.671 0.000
As3 0.671 0.171 0.000
As4 0.171 0.329 0.000
Ca1 0.000 0.000 0.000
Ca2 0.500 0.500 0.000
Bi1 0.158 0.658 0.500
Bi2 0.658 0.842 0.500
Bi3 0.842 0.342 0.500
Bi4 0.342 0.158 0.500

12.
Ca3CeBi2As | GGA-PBE | optimized geometry

formation enthalpy at 0 K	-19.13	kcal/mol of atoms
total energy	-30.16	eV for the cell shown
mass density	5016	kg/m³

a b c (Å): 5.590 5.377 9.158
angles (deg): 107.07 107.77 90.00
Element x y z (fractional)
Ca1 0.000 0.500 0.000
Ca2 0.177 0.177 0.353
Ca3 0.823 0.823 0.647
Ce1 0.500 0.000 0.000
Bi1 0.632 0.632 0.265
Bi2 0.368 0.368 0.735
As1 0.000 0.000 0.000

13.
CaBi2AsCl | GGA-PBE | optimized geometry

total energy	-17.02	eV for the cell shown
mass density	5352	kg/m³
formation energy without anion corrections	-0.151	eV per atom

a b c (Å): 5.517 5.793 5.517
angles (deg): 90.00 90.00 90.00
Element x y z (fractional)
As1 0.000 0.000 0.000
Ca1 0.000 0.500 0.000
Bi1 0.000 0.000 0.500
Bi2 0.500 0.000 0.000
Cl1 0.500 0.500 0.500

14.
CaCrBiAs2 | GGA-PBE | optimized geometry

formation enthalpy at 0 K	-1.12	kcal/mol of atoms
total energy	-25.05	eV for the cell shown
mass density	5936	kg/m³

a b c (Å): 4.698 5.715 4.698
angles (deg): 90.00 90.00 90.00
Element x y z (fractional)
Cr1 0.000 0.000 0.000
As1 0.000 0.000 0.500
As2 0.500 0.000 0.000
Ca1 0.500 0.500 0.500
Bi1 0.000 0.500 0.000

15.
Ca3DyBi2As | GGA-PBE | optimized geometry

formation enthalpy at 0 K	-20.55	kcal/mol of atoms
total energy	-29.26	eV for the cell shown
mass density	5390	kg/m³

a b c (Å): 5.412 5.323 9.121
angles (deg): 106.96 107.26 90.00
Element x y z (fractional)
Ca1 0.000 0.500 0.000
Ca2 0.175 0.175 0.351
Ca3 0.825 0.825 0.649
Dy1 0.500 0.000 0.000
Bi1 0.632 0.632 0.265
Bi2 0.368 0.368 0.735
As1 0.000 0.000 0.000

16.
Ca3ErBi2As | GGA-PBE | optimized geometry

formation enthalpy at 0 K	-20.50	kcal/mol of atoms
total energy	-29.20	eV for the cell shown
mass density	5475	kg/m³

a b c (Å): 5.369 5.315 9.113
angles (deg): 106.96 107.13 90.00
Element x y z (fractional)
Ca1 0.000 0.500 0.000
Ca2 0.175 0.175 0.351
Ca3 0.825 0.825 0.649
Er1 0.500 0.000 0.000
Bi1 0.632 0.632 0.265
Bi2 0.368 0.368 0.735
As1 0.000 0.000 0.000

17.
CaGa2BiAs | GGA-PBE | optimized geometry

formation enthalpy at 0 K	9.76	kcal/mol of atoms
total energy	-14.47	eV for the cell shown
mass density	4500	kg/m³

a b c (Å): 5.305 6.078 5.305
angles (deg): 90.00 90.00 90.00
Element x y z (fractional)
As1 0.500 0.500 0.500
Ca1 0.000 0.500 0.000
Bi1 0.000 0.000 0.000
Ga1 0.000 0.000 0.500
Ga2 0.500 0.000 0.000

18.
Ca3HoBi2As | GGA-PBE | optimized geometry

formation enthalpy at 0 K	-20.53	kcal/mol of atoms
total energy	-29.23	eV for the cell shown
mass density	5433	kg/m³

a b c (Å): 5.390 5.319 9.118
angles (deg): 106.96 107.19 90.00
Element x y z (fractional)
Ca1 0.000 0.500 0.000
Ca2 0.175 0.175 0.351
Ca3 0.825 0.825 0.649
Ho1 0.500 0.000 0.000
Bi1 0.632 0.632 0.265
Bi2 0.368 0.368 0.735
As1 0.000 0.000 0.000

19.
Ca2InBiAs | GGA-PBE | optimized geometry

formation enthalpy at 0 K	2.41	kcal/mol of atoms
total energy	-14.75	eV for the cell shown
mass density	4074	kg/m³
energy above the lowest structure with this stoichiometry	862	meV/atom

a b c (Å): 5.952 5.509 5.952
angles (deg): 90.00 90.00 90.00
Element x y z (fractional)
As1 0.000 0.500 0.000
Ca1 0.000 0.000 0.500
Ca2 0.500 0.000 0.000
Bi1 0.000 0.000 0.000
In1 0.500 0.500 0.500

20.
Ca2InBiAs | GGA-PBE | optimized geometry

formation enthalpy at 0 K	-17.47	kcal/mol of atoms
total energy	-38.12	eV for the cell shown
mass density	5471	kg/m³
energy above the lowest structure with this stoichiometry	0	meV/atom

a b c (Å): 4.529 8.503 8.936
angles (deg): 122.35 90.00 90.00
Element x y z (fractional)
Ca1 0.750 0.709 0.550
Ca2 0.750 0.861 0.062
Ca3 0.250 0.291 0.450
Ca4 0.250 0.139 0.938
In1 0.250 0.479 0.884
In2 0.750 0.521 0.116
Bi1 0.250 0.844 0.354
Bi2 0.750 0.156 0.646
As1 0.250 0.725 0.777
As2 0.750 0.275 0.223